Record 1
Crystalline HoBS2 at its relaxed geometry, computed with PBE-GGA.

a = 3.2728 Å, b = 3.2728 Å, c = 23.0020 Å
α = 90.00°, β = 90.00°, γ = 120.00°
With the nearest neighbours (Å) after each atom.
Space group R-3m (No. 166, hexagonal axes)
Asymmetric unit:
Ho (0.0000, 0.0000, 0.0000) (multiplicity 3)  2 S 2.68
B (0.0000, 0.0000, 0.5000) (multiplicity 3)  6 S 2.21
S (0.0000, 0.0000, 0.1165) (multiplicity 6)  3 B 2.21

* final energy: -4.779 eV/atom

***

Record 2
Crystalline Nd2GeRu at its relaxed geometry, computed with PBE-GGA.

a = 3.9598 Å, b = 4.3989 Å, c = 11.1814 Å
α = 90.00°, β = 90.00°, γ = 90.00°
With the nearest neighbours (Å) after each atom.
Space group Amm2 (No. 38)
Asymmetric unit:
Nd (0.0000, 0.0000, 0.0000) (multiplicity 2)  4 Ru 3.02, 3 Ge 3.12-3.37
Nd (0.5000, 0.0000, 0.2795) (multiplicity 2)  3 Ru 3.05-3.36, 4 Ge 3.09
Ge (0.0000, 0.0000, 0.6985) (multiplicity 2)  2 Ru 2.57
Ru (0.5000, 0.0000, 0.5520) (multiplicity 2)  2 Ge 2.57

* formation energy from the elements: -532 meV per atom

***

Record 3
Crystalline Dy3UAg3Se8 at its relaxed geometry, computed with PBE-GGA.

a = 13.7246 Å, b = 8.3451 Å, c = 8.0473 Å
α = 90.00°, β = 122.68°, γ = 90.00°
With the nearest neighbours (Å) after each atom.
Space group C2/m (No. 12)
Asymmetric unit:
Dy (0.0000, 0.0000, 0.0000) (multiplicity 2)  6 Se 2.87-2.89
Dy (0.2500, 0.2500, 0.5000) (multiplicity 4)  6 Se 2.87-2.89
U (0.0000, 0.5000, 0.0000) (multiplicity 2)  6 Se 2.86
Ag (0.0000, 0.5000, 0.5000) (multiplicity 2)  6 Se 2.90-2.93
Ag (0.2500, 0.2500, 0.0000) (multiplicity 4)  6 Se 2.91-2.93
Se (0.0021, 0.2510, 0.2460) (multiplicity 8)  1 U 2.86, 2 Dy 2.87, 2 Ag 2.91-2.93
Se (0.2469, 0.5000, 0.2520) (multiplicity 4)  1 U 2.86, 2 Dy 2.87, 2 Ag 2.93
Se (0.2495, 0.0000, 0.2514) (multiplicity 4)  3 Dy 2.89, 3 Ag 2.90-2.91

* final energy: -5.255 eV/atom

***

Record 4
Crystalline La2CdFe at its relaxed geometry, computed with PBE-GGA.

a = 8.1942 Å, b = 8.1942 Å, c = 6.1680 Å
α = 90.00°, β = 90.00°, γ = 90.00°
With the nearest neighbours (Å) after each atom.
Space group I-42d (No. 122)
Asymmetric unit:
La (0.1738, 0.2500, 0.1250) (multiplicity 8)  2 Fe 2.61
Cd (0.0000, 0.0000, 0.5000) (multiplicity 4)  2 Fe 3.08, 4 La 3.40
Fe (0.0000, 0.0000, 0.0000) (multiplicity 4)  4 La 2.61

* formation energy from the elements: 186 meV per atom

***

Record 5
Crystalline NpSi2Pt4 at its relaxed geometry, computed with PBE-GGA.

a = 7.8221 Å, b = 7.8221 Å, c = 3.8380 Å
α = 90.00°, β = 90.00°, γ = 90.00°
With the nearest neighbours (Å) after each atom.
Space group P4_2/mnm (No. 136)
Asymmetric unit:
Np (0.0000, 0.0000, 0.0000) (multiplicity 2)  6 Si 3.05-3.14, 8 Pt 3.21
Si (0.2247, 0.2247, 0.5000) (multiplicity 4)  6 Pt 2.47-2.50
Pt (0.0755, 0.6792, 0.5000) (multiplicity 8)  3 Si 2.47-2.50, 1 Pt 2.71

* final energy: -7.543 eV/atom

***

Record 6
Crystalline La2SbPdI at its relaxed geometry, computed with PBE-GGA.

a = 5.8242 Å, b = 5.8242 Å, c = 4.9589 Å
α = 90.00°, β = 90.00°, γ = 90.00°
With the nearest neighbours (Å) after each atom.
Space group P4/mmm (No. 123)
Asymmetric unit:
La (0.0000, 0.5000, 0.0000) (multiplicity 2)  2 Pd 2.91
Sb (0.0000, 0.0000, 0.5000) (multiplicity 1)  2 Pd 2.48
Pd (0.0000, 0.0000, 0.0000) (multiplicity 1)  2 Sb 2.48
I (0.5000, 0.5000, 0.5000) (multiplicity 1)  8 La 3.82, 4 Sb 4.12

* final energy: -4.789 eV/atom